A PBEsol-optimized structure of Y2MgTl. Source: the Alexandria database, functional meta-GGA SCAN.

Structure (CIF):
```
data_Y2MgTl
_cell_length_a 3.5880
_cell_length_b 3.5880
_cell_length_c 30.2865
_cell_angle_alpha 90.00
_cell_angle_beta 90.00
_cell_angle_gamma 120.00
_symmetry_space_group_name_H-M 'R -3 m'
_symmetry_Int_Tables_number 166
_symmetry_space_group_name_Hall '-R 3 2"'
loop_
_atom_site_label
_atom_site_fract_x
_atom_site_fract_y
_atom_site_fract_z
Y1 0.0000 0.0000 0.2472
Mg1 0.0000 0.0000 0.0000
Tl1 0.0000 0.0000 0.5000
```


# meta-GGA SCAN YMg2Tl, PBEsol geometry
data_YMg2Tl
_cell_length_a 5.1391
_cell_length_b 5.1391
_cell_length_c 7.2414
_cell_angle_alpha 90.00
_cell_angle_beta 90.00
_cell_angle_gamma 90.00
_symmetry_space_group_name_H-M 'I -4 m 2'
_symmetry_Int_Tables_number 119
_symmetry_space_group_name_Hall 'I -4 -2'
loop_
_atom_site_label
_atom_site_fract_x
_atom_site_fract_y
_atom_site_fract_z
Y1 0.0000 0.0000 0.0000
Mg1 0.0000 0.0000 0.5000
Mg2 0.0000 0.5000 0.2500
Tl1 0.0000 0.5000 0.7500
# Excess energy over the best structure of this formula in the dataset   0.084 eV/atom


Respective D(E_F) values: 2.9 1.1 states/eV/f.u..
Respective E_form values: -0.210 -0.286 eV/atom.